[1]
Density functional theory data (PBE) for a relaxed In2HgPb2 crystal.

Computed properties:
The energy of formation from the pure elements is 112 meV per atom. Its space group is I4/mmm, No. 139. As for the offset from the most stable computed form: 108 meV per atom.

```
data_In2HgPb2
_chemical_formula_sum 'In4 Hg2 Pb4'
_cell_length_a 4.767
_cell_length_b 4.767
_cell_length_c 14.299
_cell_angle_alpha 90.00
_cell_angle_beta 90.00
_cell_angle_gamma 90.00
_space_group_name_H-M_alt 'P 1'
_space_group_IT_number 1
_space_group_name_Hall 'P 1'
loop_
_atom_site_label
_atom_site_fract_x
_atom_site_fract_y
_atom_site_fract_z
In1 0.000 0.000 0.101
In2 0.000 0.000 0.899
In3 0.500 0.500 0.399
In4 0.500 0.500 0.601
Hg1 0.000 0.000 0.500
Hg2 0.500 0.500 0.000
Pb1 0.000 0.500 0.250
Pb2 0.000 0.500 0.750
Pb3 0.500 0.000 0.250
Pb4 0.500 0.000 0.750
```

---

[2]
Density functional theory data (PBE) for a relaxed HoZn2Ga4 crystal.

Computed properties:
The energy of formation from the pure elements is -195 meV per atom. Its space group is R-3m, No. 166. As for the offset from the most stable computed form: 40 meV per atom.

```
data_HoZn2Ga4
_chemical_formula_sum 'Ho1 Zn2 Ga4'
_cell_length_a 10.391
_cell_length_b 10.391
_cell_length_c 10.391
_cell_angle_alpha 22.61
_cell_angle_beta 22.61
_cell_angle_gamma 22.61
_space_group_name_H-M_alt 'P 1'
_space_group_IT_number 1
_space_group_name_Hall 'P 1'
loop_
_atom_site_label
_atom_site_fract_x
_atom_site_fract_y
_atom_site_fract_z
Ho1 0.000 0.000 0.000
Zn1 0.186 0.186 0.186
Zn2 0.814 0.814 0.814
Ga1 0.101 0.101 0.101
Ga2 0.271 0.271 0.271
Ga3 0.729 0.729 0.729
Ga4 0.899 0.899 0.899
```

---

[3]
Density functional theory data (PBE) for a relaxed Pm3GeAs2Rh9 crystal.

Computed properties:
The energy of formation from the pure elements is -462 meV per atom. Its space group is P-3m1, No. 164.

```
data_Pm3GeAs2Rh9
_chemical_formula_sum 'Pm3 Ge1 As2 Rh9'
_cell_length_a 6.325
_cell_length_b 6.325
_cell_length_c 8.739
_cell_angle_alpha 90.00
_cell_angle_beta 90.00
_cell_angle_gamma 120.00
_space_group_name_H-M_alt 'P 1'
_space_group_IT_number 1
_space_group_name_Hall 'P 1'
loop_
_atom_site_label
_atom_site_fract_x
_atom_site_fract_y
_atom_site_fract_z
Pm1 0.000 0.000 0.000
Pm2 0.333 0.667 0.705
Pm3 0.667 0.333 0.295
Ge1 0.000 0.000 0.500
As1 0.333 0.667 0.178
As2 0.667 0.333 0.822
Rh1 0.000 0.500 0.000
Rh2 0.143 0.285 0.284
Rh3 0.143 0.857 0.284
Rh4 0.285 0.143 0.716
Rh5 0.500 0.000 0.000
Rh6 0.500 0.500 0.000
Rh7 0.715 0.857 0.284
Rh8 0.857 0.143 0.716
Rh9 0.857 0.715 0.716
```

---

[4]
Density functional theory data (PBE) for a relaxed BaSr2As2 crystal.

Computed properties:
The energy of formation from the pure elements is -951 meV per atom. Its space group is P4/mbm, No. 127. As for the offset from the most stable computed form: 167 meV per atom.

```
data_BaSr2As2
_chemical_formula_sum 'Ba2 Sr4 As4'
_cell_length_a 8.929
_cell_length_b 8.929
_cell_length_c 4.149
_cell_angle_alpha 90.00
_cell_angle_beta 90.00
_cell_angle_gamma 90.00
_space_group_name_H-M_alt 'P 1'
_space_group_IT_number 1
_space_group_name_Hall 'P 1'
loop_
_atom_site_label
_atom_site_fract_x
_atom_site_fract_y
_atom_site_fract_z
Ba1 0.000 0.000 0.000
Ba2 0.500 0.500 0.000
Sr1 0.136 0.364 0.500
Sr2 0.364 0.864 0.500
Sr3 0.636 0.136 0.500
Sr4 0.864 0.636 0.500
As1 0.166 0.666 0.000
As2 0.334 0.166 0.000
As3 0.666 0.834 0.000
As4 0.834 0.334 0.000
```

---

[5]
Density functional theory data (PBE) for a relaxed P2HAuCl crystal.

Computed properties:
Its space group is P4/mmm, No. 123. As for the offset from the most stable computed form: 577 meV per atom.

```
data_P2HAuCl
_chemical_formula_sum 'P2 H1 Au1 Cl1'
_cell_length_a 4.795
_cell_length_b 4.795
_cell_length_c 5.440
_cell_angle_alpha 90.00
_cell_angle_beta 90.00
_cell_angle_gamma 90.00
_space_group_name_H-M_alt 'P 1'
_space_group_IT_number 1
_space_group_name_Hall 'P 1'
loop_
_atom_site_label
_atom_site_fract_x
_atom_site_fract_y
_atom_site_fract_z
P1 0.000 0.500 0.000
P2 0.500 0.000 0.000
H1 0.000 0.000 0.500
Au1 0.500 0.500 0.000
Cl1 0.500 0.500 0.500
```

---

[6]
Density functional theory data (PBE) for a relaxed Th2CdFeCu crystal.

Computed properties:
The energy of formation from the pure elements is -102 meV per atom. Its space group is P2_1/m, No. 11.

```
data_Th2CdFeCu
_chemical_formula_sum 'Th4 Cd2 Fe2 Cu2'
_cell_length_a 7.419
_cell_length_b 4.262
_cell_length_c 7.452
_cell_angle_alpha 90.00
_cell_angle_beta 104.63
_cell_angle_gamma 90.00
_space_group_name_H-M_alt 'P 1'
_space_group_IT_number 1
_space_group_name_Hall 'P 1'
loop_
_atom_site_label
_atom_site_fract_x
_atom_site_fract_y
_atom_site_fract_z
Th1 0.069 0.250 0.333
Th2 0.332 0.750 0.074
Th3 0.668 0.250 0.926
Th4 0.931 0.750 0.667
Cd1 0.408 0.750 0.590
Cd2 0.592 0.250 0.410
Fe1 0.044 0.250 0.955
Fe2 0.956 0.750 0.045
Cu1 0.254 0.250 0.749
Cu2 0.746 0.750 0.251
```